DFT (PBE) results for a geometry-optimized NiRu3W structure.

Properties
For the formation energy from the elements, the calculation gives 1.57 eV per atom. The value obtained for the raw total energy is -7.74 eV/atom. The value obtained for the polymorph energy (0 for the lowest one) is 0 meV/atom.

Unit cell a=4.3376 b=4.3376 c=4.3376 alpha=90.00 beta=90.00 gamma=90.00
With the nearest neighbours (Å) after each atom.
Space group Pm-3m (No. 221)
Asymmetric unit:
Ni 0.0000 0.0000 0.0000 [1 per cell]  6 Ru 2.17
Ru 0.0000 0.0000 0.5000 [3 per cell]  2 Ni 2.17
W 0.5000 0.5000 0.5000 [1 per cell]  12 Ru 3.07

***

DFT (PBE) results for a geometry-optimized Ba2YTc structure.

Properties
For the formation energy from the elements, the calculation gives 0.94 eV per atom. The value obtained for the raw total energy is -4.23 eV/atom. The value obtained for the polymorph energy (0 for the lowest one) is 549 meV/atom.

Unit cell a=7.9177 b=7.9177 c=7.9177 alpha=90.00 beta=90.00 gamma=90.00
With the nearest neighbours (Å) after each atom.
Space group Fm-3m (No. 225)
Asymmetric unit:
Ba 0.2500 0.2500 0.2500 [8 per cell]  4 Y 3.43, 4 Tc 3.43
Y 0.0000 0.0000 0.0000 [4 per cell]  8 Ba 3.43
Tc 0.0000 0.0000 0.5000 [4 per cell]  8 Ba 3.43

***

DFT (PBE) results for a geometry-optimized K2AcScTe4 structure.

Properties
The raw formation energy is -1.335 eV/atom. The value obtained for the raw total energy is -4.49 eV/atom.

Unit cell a=7.9755 b=4.5868 c=8.6609 alpha=90.00 beta=107.74 gamma=90.00
With the nearest neighbours (Å) after each atom.
Space group P2/m (No. 10)
Asymmetric unit:
K 0.0000 0.0000 0.0000 [1 per cell]  6 Te 3.69-3.71
K 0.5000 0.5000 0.0000 [1 per cell]  6 Te 3.46-3.48
Ac 0.0000 0.5000 0.5000 [1 per cell]  6 Te 3.29-3.30
Sc 0.5000 0.0000 0.5000 [1 per cell]  6 Te 3.01-3.05
Te 0.2668 0.0000 0.7155 [2 per cell]  1 Sc 3.01, 2 Ac 3.29
Te 0.2905 0.5000 0.2979 [2 per cell]  2 Sc 3.05, 1 Ac 3.30

***

DFT (PBE) results for a geometry-optimized PrTmPb2 structure.

Properties
For the formation energy from the elements, the calculation gives -0.33 eV per atom. The value obtained for the raw total energy is -4.50 eV/atom.

Unit cell a=4.7917 b=4.7917 c=20.5279 alpha=90.00 beta=90.00 gamma=120.00
With the nearest neighbours (Å) after each atom.
Space group R3m (No. 160, hexagonal axes)
Asymmetric unit:
Pr 0.0000 0.0000 0.0000 [3 per cell]  6 Pb 3.27-3.36, 1 Tm 3.63
Tm 0.0000 0.0000 0.1768 [3 per cell]  6 Pb 3.13-3.26
Pb 0.0000 0.0000 0.4260 [3 per cell]  1 Pb 3.20, 3 Tm 3.26, 3 Pr 3.36
Pb 0.0000 0.0000 0.5819 [3 per cell]  3 Tm 3.13, 1 Pb 3.20, 3 Pr 3.27

***

- Which value of raw total energy does entry 2 give?
  -4.23 eV/atom

***

- Which of these has the highest raw total energy?
  Ba2YTc

***

Please write out number 2 again, unchanged.
DFT (PBE) results for a geometry-optimized Ba2YTc structure.

Properties
For the formation energy from the elements, the calculation gives 0.94 eV per atom. The value obtained for the raw total energy is -4.23 eV/atom. The value obtained for the polymorph energy (0 for the lowest one) is 549 meV/atom.

Unit cell a=7.9177 b=7.9177 c=7.9177 alpha=90.00 beta=90.00 gamma=90.00
With the nearest neighbours (Å) after each atom.
Space group Fm-3m (No. 225)
Asymmetric unit:
Ba 0.2500 0.2500 0.2500 [8 per cell]  4 Y 3.43, 4 Tc 3.43
Y 0.0000 0.0000 0.0000 [4 per cell]  8 Ba 3.43
Tc 0.0000 0.0000 0.5000 [4 per cell]  8 Ba 3.43

***

- Which of these has the highest raw total energy?
  Ba2YTc